# 1
The following is a DFT calculation (PBE) of a geometry-optimized VBiSCl2 structure.

Output
**DOS(E_F)**: 5.4 states/eV per cell
**E_tot**: -3.903 eV per atom
**Distance to the lowest polymorph of the same formula**: 63.5 kJ/mol of atoms

```
VBiSCl2
1.0
5.381 0.000 0.000
0.000 5.381 0.000
0.000 0.000 5.428
V Bi S Cl
1 1 1 2
Direct
0.000 0.000 0.000 V
0.500 0.500 0.500 Bi
0.500 0.500 0.000 S
0.000 0.500 0.500 Cl
0.500 0.000 0.500 Cl
```

# 2
The following is a DFT calculation (PBE) of a geometry-optimized VBiSCl2 structure.

Output
**DOS(E_F)**: 2.7 states/eV per cell
**E_tot**: -4.561 eV per atom
**Distance to the lowest polymorph of the same formula**: 0.0 kJ/mol of atoms

```
VBiSCl2
1.0
4.766 0.000 0.000
0.000 4.766 0.000
0.000 0.000 4.900
V Bi S Cl
1 1 1 2
Direct
0.000 0.000 0.000 V
0.500 0.500 0.500 Bi
0.000 0.000 0.500 S
0.000 0.500 0.000 Cl
0.500 0.000 0.000 Cl
```

# 3
The following is a DFT calculation (PBE) of a geometry-optimized BiWS2Cl structure.

Output
**DOS(E_F)**: 2.7 states/eV per cell
**E_tot**: -4.123 eV per atom
**Distance to the lowest polymorph of the same formula**: 109.0 kJ/mol of atoms

```
BiWS2Cl
1.0
5.320 0.000 0.000
0.000 5.320 0.000
0.000 0.000 5.141
Bi W S Cl
1 1 2 1
Direct
0.000 0.000 0.000 Bi
0.500 0.500 0.500 W
0.000 0.500 0.000 S
0.500 0.000 0.000 S
0.000 0.000 0.500 Cl
```

# 4
The following is a DFT calculation (PBE) of a geometry-optimized BiWSCl2 structure.

Output
**DOS(E_F)**: 3.8 states/eV per cell
**E_tot**: -3.926 eV per atom
**Distance to the lowest polymorph of the same formula**: 75.0 kJ/mol of atoms

```
BiWSCl2
1.0
5.297 0.000 0.000
0.000 5.297 0.000
0.000 0.000 5.532
Bi W S Cl
1 1 1 2
Direct
0.000 0.000 0.000 Bi
0.500 0.500 0.500 W
0.000 0.000 0.500 S
0.000 0.500 0.000 Cl
0.500 0.000 0.000 Cl
```

# 5
The following is a DFT calculation (PBE) of a geometry-optimized BiWSCl2 structure.

Output
**DOS(E_F)**: 5.4 states/eV per cell
**E_tot**: -4.703 eV per atom
**Distance to the lowest polymorph of the same formula**: 0.0 kJ/mol of atoms

```
BiWSCl2
1.0
4.911 0.000 0.000
0.000 4.911 0.000
0.000 0.000 4.684
Bi W S Cl
1 1 1 2
Direct
0.000 0.000 0.000 Bi
0.500 0.500 0.500 W
0.500 0.500 0.000 S
0.000 0.500 0.500 Cl
0.500 0.000 0.500 Cl
```

# 6
The following is a DFT calculation (PBE) of a geometry-optimized BiWS2Cl structure.

Output
**DOS(E_F)**: 5.5 states/eV per cell
**E_tot**: -5.253 eV per atom
**Distance to the lowest polymorph of the same formula**: 0.0 kJ/mol of atoms

```
BiWS2Cl
1.0
4.710 0.000 0.000
0.000 4.710 0.000
0.000 0.000 4.901
Bi W S Cl
1 1 2 1
Direct
0.000 0.000 0.000 Bi
0.500 0.500 0.500 W
0.000 0.500 0.500 S
0.500 0.000 0.500 S
0.500 0.500 0.000 Cl
```

# 7
The following is a DFT calculation (PBE) of a geometry-optimized ZnBiS2Cl structure.

Output
**DOS(E_F)**: 4.7 states/eV per cell
**E_tot**: -2.795 eV per atom
**Distance to the lowest polymorph of the same formula**: 35.2 kJ/mol of atoms

```
ZnBiS2Cl
1.0
5.273 0.000 0.000
0.000 5.273 0.000
0.000 0.000 5.349
Zn Bi S Cl
1 1 2 1
Direct
0.000 0.000 0.000 Zn
0.500 0.500 0.500 Bi
0.000 0.500 0.500 S
0.500 0.000 0.500 S
0.500 0.500 0.000 Cl
```

# 8
The following is a DFT calculation (PBE) of a geometry-optimized ZnBiS2Cl structure.

Output
**DOS(E_F)**: 2.7 states/eV per cell
**E_tot**: -3.160 eV per atom
**Distance to the lowest polymorph of the same formula**: 0.0 kJ/mol of atoms

```
ZnBiS2Cl
1.0
4.825 0.000 0.000
0.000 4.825 0.000
0.000 0.000 4.620
Zn Bi S Cl
1 1 2 1
Direct
0.000 0.000 0.000 Zn
0.500 0.500 0.500 Bi
0.000 0.500 0.000 S
0.500 0.000 0.000 S
0.000 0.000 0.500 Cl
```

Going through the records in order, we get uncorrected formation energy values of 261, -397, 1264, 1005, 228, 134, 257, -108 meV per atom.